(1)
Material: Li4BOsO6
Method: DFT, PBE
State: optimized geometry

Unit cell a=5.0629 b=5.0629 c=4.9177 alpha=98.89 beta=98.89 gamma=122.70
Last column: nearest neighbours and their distance in Å.
Atoms (fractional coordinates):
Li (0.0000, 0.0000, 0.0000)  6 O 2.03-2.15
Li (0.1855, 0.8145, 0.5000)  6 O 1.94-2.10
Li (0.4937, 0.5063, 0.5000)  4 O 1.98-2.06
Li (0.8695, 0.1305, 0.5000)  4 O 2.03-2.20
B (0.2844, 0.7156, 0.0000)  4 O 1.51-1.55
Os (0.6741, 0.3259, 0.0000)  6 O 1.90-2.10
O (0.1515, 0.4661, 0.1752)  1 B 1.55
O (0.2863, 0.2166, 0.7400)  1 Os 1.90, 4 Li 1.94-2.06
O (0.4219, 0.0325, 0.2239)  1 B 1.51
O (0.5339, 0.8485, 0.8248)  1 B 1.55
O (0.7834, 0.7137, 0.2600)  1 Os 1.90, 4 Li 1.94-2.06
O (0.9675, 0.5781, 0.7761)  1 B 1.51

## Properties
V: 100 Å³ per cell
Spin magnetization: 3.0 μB/cell
Crystal system: monoclinic
Space group: C2, No. 5
E: -75.33 eV/cell

***

(2)
Material: BaSnHg2Pb
Method: DFT, PBE
State: optimized geometry

Unit cell a=4.9171 b=4.9171 c=12.9325 alpha=90.00 beta=90.00 gamma=90.00
Last column: nearest neighbours and their distance in Å.
Atoms (fractional coordinates):
Ba (0.0000, 0.0000, 0.0000)  8 Hg 3.75, 4 Pb 4.06, 4 Sn 4.06
Ba (0.5000, 0.5000, 0.5000)  8 Hg 3.75, 4 Pb 4.06, 4 Sn 4.06
Sn (0.0000, 0.5000, 0.7500)  4 Hg 3.07
Sn (0.5000, 0.0000, 0.2500)  4 Hg 3.07
Hg (0.0000, 0.0000, 0.3917)  1 Hg 2.80, 2 Sn 3.07, 2 Pb 3.07
Hg (0.0000, 0.0000, 0.6083)  1 Hg 2.80, 2 Pb 3.07, 2 Sn 3.07
Hg (0.5000, 0.5000, 0.1083)  1 Hg 2.80, 2 Pb 3.07, 2 Sn 3.07
Hg (0.5000, 0.5000, 0.8917)  1 Hg 2.80, 2 Sn 3.07, 2 Pb 3.07
Pb (0.0000, 0.5000, 0.2500)  4 Hg 3.07
Pb (0.5000, 0.0000, 0.7500)  4 Hg 3.07

## Properties
V: 313 Å³ per cell
Crystal system: tetragonal
Space group: I-4m2, No. 119
Distance to the lowest polymorph of the same formula: 11 meV per atom
E: -24.09 eV/cell

***

(3)
Material: Hf2ScAl3NiIr2
Method: DFT, PBE
State: optimized geometry

Unit cell a=3.4678 b=7.0933 c=7.0933 alpha=120.17 beta=90.00 gamma=90.00
Last column: nearest neighbours and their distance in Å.
Atoms (fractional coordinates):
Hf (0.0000, 0.2025, 0.7975)  4 Ir 2.75, 1 Ni 2.85, 6 Al 3.02-3.05
Hf (0.0000, 0.7975, 0.2025)  4 Ir 2.75, 1 Ni 2.85, 6 Al 3.02-3.05
Sc (0.0000, 0.3929, 0.3929)  4 Ir 2.80, 1 Ni 2.91, 6 Al 2.99-3.03
Al (0.5000, 0.0494, 0.0494)  2 Ni 2.46, 2 Ir 2.72
Al (0.5000, 0.5501, 0.7957)  2 Ni 2.48, 2 Ir 2.69-2.73
Al (0.5000, 0.7957, 0.5501)  2 Ni 2.48, 2 Ir 2.69-2.73
Ni (0.0000, 0.8036, 0.8036)  6 Al 2.46-2.48
Ir (0.5000, 0.1262, 0.4656)  3 Al 2.69-2.73, 4 Hf 2.75, 2 Sc 2.80
Ir (0.5000, 0.4656, 0.1262)  3 Al 2.69-2.73, 4 Hf 2.75, 2 Sc 2.80

## Properties
V: 151 Å³ per cell
Spin magnetization: 0.0 μB/cell
Crystal system: orthorhombic
Space group: Amm2, No. 38
E: -68.41 eV/cell

***

(4)
Material: LiMgAg2
Method: DFT, PBE
State: optimized geometry

Unit cell a=6.5039 b=6.5039 c=6.5039 alpha=90.00 beta=90.00 gamma=90.00
Last column: nearest neighbours and their distance in Å.
Atoms (fractional coordinates):
Li (0.0000, 0.0000, 0.0000)  8 Ag 2.82
Li (0.0000, 0.5000, 0.5000)  8 Ag 2.82
Li (0.5000, 0.0000, 0.5000)  8 Ag 2.82
Li (0.5000, 0.5000, 0.0000)  8 Ag 2.82
Mg (0.0000, 0.0000, 0.5000)  8 Ag 2.82
Mg (0.0000, 0.5000, 0.0000)  8 Ag 2.82
Mg (0.5000, 0.0000, 0.0000)  8 Ag 2.82
Mg (0.5000, 0.5000, 0.5000)  8 Ag 2.82
Ag (0.2500, 0.2500, 0.2500)  4 Li 2.82, 4 Mg 2.82
Ag (0.2500, 0.2500, 0.7500)  4 Li 2.82, 4 Mg 2.82
Ag (0.2500, 0.7500, 0.2500)  4 Li 2.82, 4 Mg 2.82
Ag (0.2500, 0.7500, 0.7500)  4 Li 2.82, 4 Mg 2.82
Ag (0.7500, 0.2500, 0.2500)  4 Li 2.82, 4 Mg 2.82
Ag (0.7500, 0.2500, 0.7500)  4 Li 2.82, 4 Mg 2.82
Ag (0.7500, 0.7500, 0.2500)  4 Li 2.82, 4 Mg 2.82
Ag (0.7500, 0.7500, 0.7500)  4 Mg 2.82, 4 Li 2.82

## Properties
V: 275 Å³ per cell
Crystal system: cubic
Space group: Fm-3m, No. 225
E: -40.31 eV/cell

***

(5)
Material: Co2W13
Method: DFT, PBE
State: optimized geometry

Unit cell a=9.6678 b=9.6678 c=5.1366 alpha=90.00 beta=90.00 gamma=90.00
Last column: nearest neighbours and their distance in Å.
Atoms (fractional coordinates):
Co (0.0982, 0.0982, 0.0000)  4 W 2.64-2.90, 1 Co 2.69
Co (0.4018, 0.5982, 0.5000)  4 W 2.64-2.90, 1 Co 2.69
Co (0.5982, 0.4018, 0.5000)  4 W 2.64-2.90, 1 Co 2.69
Co (0.9018, 0.9018, 0.0000)  4 W 2.64-2.90, 1 Co 2.69
W (0.0000, 0.0000, 0.5000)  8 W 2.61-2.83, 4 Co 2.90
W (0.0381, 0.3649, 0.0000)  1 Co 2.64, 5 W 2.71-2.77
W (0.0658, 0.2621, 0.5000)  10 W 2.61-2.84
W (0.1351, 0.5381, 0.5000)  1 Co 2.64, 5 W 2.71-2.77
W (0.1839, 0.8161, 0.2491)  7 W 2.56-2.84
W (0.1839, 0.8161, 0.7509)  7 W 2.56-2.84
W (0.2379, 0.5658, 0.0000)  10 W 2.61-2.84
W (0.2621, 0.0658, 0.5000)  10 W 2.61-2.84
W (0.3161, 0.3161, 0.2509)  7 W 2.56-2.84
W (0.3161, 0.3161, 0.7491)  7 W 2.56-2.84
W (0.3649, 0.0381, 0.0000)  1 Co 2.64, 5 W 2.71-2.77
W (0.4342, 0.7621, 0.0000)  10 W 2.61-2.84
W (0.4619, 0.8649, 0.5000)  1 Co 2.64, 5 W 2.71-2.77
W (0.5000, 0.5000, 0.0000)  8 W 2.61-2.83, 4 Co 2.90
W (0.5381, 0.1351, 0.5000)  1 Co 2.64, 5 W 2.71-2.77
W (0.5658, 0.2379, 0.0000)  10 W 2.61-2.84
W (0.6351, 0.9619, 0.0000)  1 Co 2.64, 5 W 2.71-2.77
W (0.6839, 0.6839, 0.2509)  7 W 2.56-2.84
W (0.6839, 0.6839, 0.7491)  7 W 2.56-2.84
W (0.7379, 0.9342, 0.5000)  10 W 2.61-2.84
W (0.7621, 0.4342, 0.0000)  10 W 2.61-2.84
W (0.8161, 0.1839, 0.2491)  7 W 2.56-2.84
W (0.8161, 0.1839, 0.7509)  7 W 2.56-2.84
W (0.8649, 0.4619, 0.5000)  1 Co 2.64, 5 W 2.71-2.77
W (0.9342, 0.7379, 0.5000)  10 W 2.61-2.84
W (0.9619, 0.6351, 0.0000)  1 Co 2.64, 5 W 2.71-2.77

## Properties
V: 480 Å³ per cell
Formation enthalpy at 0 K: 347 meV/atom
Spin magnetization: 5.6 μB/cell
Crystal system: tetragonal
Space group: P4_2/mnm, No. 136
E: -354.99 eV/cell

***

(6)
Material: SrCdNO
Method: DFT, PBE
State: optimized geometry

Unit cell a=3.6437 b=6.2416 c=5.9515 alpha=90.00 beta=90.00 gamma=90.00
Last column: nearest neighbours and their distance in Å.
Atoms (fractional coordinates):
Sr (0.0000, 0.2119, 0.0000)  2 O 2.42-2.49, 2 N 2.70
Sr (0.0000, 0.7881, 0.5000)  2 O 2.42-2.49, 2 N 2.70
Cd (0.5000, 0.2751, 0.4846)  2 N 2.19-2.35, 2 O 2.20
Cd (0.5000, 0.7249, 0.9846)  2 N 2.19-2.35, 2 O 2.20
N (0.5000, 0.0156, 0.7333)  2 Cd 2.19-2.35
N (0.5000, 0.9844, 0.2333)  2 Cd 2.19-2.35
O (0.0000, 0.4279, 0.3512)  2 Cd 2.20, 1 Sr 2.42
O (0.0000, 0.5721, 0.8512)  2 Cd 2.20, 1 Sr 2.42

## Properties
V: 135 Å³ per cell
Crystal system: orthorhombic
Space group: Pmc2_1, No. 26
Distance to the lowest polymorph of the same formula: 74 meV per atom
E: -36.56 eV/cell

***

Question: Number 2 is which compound?
Answer: BaSnHg2Pb